This record from Alexandria describes an optimized crystal structure of K2CePdO4. The functional is PBE-GGA.

Results
As for the raw total energy: -5.95 eV per atom.

a b c (Å): 6.325 6.325 7.099
angles (deg): 90.00 90.00 90.00
Space group I-4 (No. 82)
Symmetry-distinct sites (fractional):
K  0.000  0.000  0.000 x2
K  0.000  0.500  0.250 x2
Ce  0.000  0.000  0.500 x2
Pd  0.000  0.500  0.750 x2
O  0.146  0.215  0.697 x8